## Li5PtO4 (GGA-PBE)

Data for crystalline Li5PtO4 at its relaxed geometry.

Calculated values
SG = P2/m
DFT total energy = -4.96 eV per atom

Lattice parameters (Å, degrees): 5.0189 3.2795 5.3477 90.00 92.05 90.00
Last column: nearest neighbours and their distance in Å.
Positions (direct):
Li (0.0000, 0.0000, 0.0000)  6 O 2.08-2.31
Li (0.3435, 0.5000, 0.1578)  4 O 1.86-2.03
Li (0.3654, 0.0000, 0.6758)  4 O 1.90-1.99
Li (0.6346, 0.0000, 0.3242)  4 O 1.90-1.99
Li (0.6565, 0.5000, 0.8422)  4 O 1.86-2.03
Pt (0.0000, 0.5000, 0.5000)  6 O 2.08-2.25
O (0.2377, 0.0000, 0.3260)  5 Li 1.95-2.08
O (0.2510, 0.5000, 0.8177)  4 Li 1.86-2.03, 1 Pt 2.08
O (0.7490, 0.5000, 0.1823)  4 Li 1.86-2.03, 1 Pt 2.08
O (0.7623, 0.0000, 0.6740)  5 Li 1.95-2.08

## TbSi2Pd (GGA-PBE)

Data for crystalline TbSi2Pd at its relaxed geometry.

Calculated values
SG = Pmn2_1
DFT total energy = -5.85 eV per atom

Lattice parameters (Å, degrees): 4.0603 6.1720 5.6361 90.00 90.00 90.00
Last column: nearest neighbours and their distance in Å.
Positions (direct):
Tb (0.0000, 0.0936, 0.0000)  7 Si 2.91-3.12, 2 Pd 3.21
Tb (0.5000, 0.9064, 0.5000)  7 Si 2.91-3.12, 2 Pd 3.21
Si (0.0000, 0.2562, 0.5013)  3 Pd 2.54-2.64, 3 Si 2.58-2.76
Si (0.0000, 0.6481, 0.7376)  3 Pd 2.53-2.72, 3 Si 2.58-2.76
Si (0.5000, 0.3519, 0.2376)  3 Pd 2.53-2.72, 3 Si 2.58-2.76
Si (0.5000, 0.7438, 0.0013)  3 Pd 2.54-2.64, 3 Si 2.58-2.76
Pd (0.0000, 0.5960, 0.2177)  6 Si 2.53-2.72
Pd (0.5000, 0.4039, 0.7177)  6 Si 2.53-2.72

## Sm3CSe2 (GGA-PBE)

Data for crystalline Sm3CSe2 at its relaxed geometry.

Calculated values
SG = C2/c
DFT total energy = -6.38 eV per atom

Lattice parameters (Å, degrees): 7.1481 7.1481 7.7861 105.78 105.78 47.42
Last column: nearest neighbours and their distance in Å.
Positions (direct):
Sm (0.0218, 0.9782, 0.7500)  1 C 2.61
Sm (0.3633, 0.3639, 0.4316)  2 C 2.59
Sm (0.3639, 0.3633, 0.9316)  2 C 2.59
Sm (0.6361, 0.6367, 0.0684)  2 C 2.59
Sm (0.6367, 0.6361, 0.5684)  2 C 2.59
Sm (0.9782, 0.0218, 0.2500)  1 C 2.61
C (0.4762, 0.5238, 0.7500)  5 Sm 2.59-2.61
C (0.5238, 0.4762, 0.2500)  5 Sm 2.59-2.61
Se (0.1746, 0.1750, 0.0875)  6 Sm 2.91-3.06
Se (0.1750, 0.1746, 0.5875)  6 Sm 2.91-3.06
Se (0.8250, 0.8254, 0.4125)  6 Sm 2.91-3.06
Se (0.8254, 0.8250, 0.9125)  6 Sm 2.91-3.06

## TlCuTcW (GGA-PBE)

Data for crystalline TlCuTcW at its relaxed geometry.

Calculated values
SG = F-43m
Offset from the most stable computed form = 0.000 kcal/mol of atoms

Lattice parameters (Å, degrees): 4.5102 4.5102 4.5102 60.00 60.00 60.00
Last column: nearest neighbours and their distance in Å.
Positions (direct):
Tl (0.0000, 0.0000, 0.0000)  4 Tc 2.76, 4 Cu 2.76
Cu (0.2500, 0.2500, 0.2500)  4 Tl 2.76, 4 W 2.76
Tc (0.7500, 0.7500, 0.7500)  4 Tl 2.76, 4 W 2.76
W (0.5000, 0.5000, 0.5000)  4 Tc 2.76, 4 Cu 2.76

## ThCdCo (GGA-PBE)

Data for crystalline ThCdCo at its relaxed geometry.

Calculated values
Calculated formation energy = -0.33 eV per atom
SG = Cmcm

Lattice parameters (Å, degrees): 9.0223 9.0223 3.9425 90.00 90.00 156.43
Last column: nearest neighbours and their distance in Å.
Positions (direct):
Th (0.0867, 0.9133, 0.7500)  4 Co 2.75
Th (0.9133, 0.0867, 0.2500)  4 Co 2.75
Cd (0.2904, 0.7096, 0.7500)  1 Co 2.72
Cd (0.7096, 0.2904, 0.2500)  1 Co 2.72
Co (0.4442, 0.5558, 0.7500)  1 Cd 2.72, 4 Th 2.75, 2 Co 2.79
Co (0.5558, 0.4442, 0.2500)  1 Cd 2.72, 4 Th 2.75, 2 Co 2.79

## CoSiPtAu (GGA-PBE)

Data for crystalline CoSiPtAu at its relaxed geometry.

Calculated values
SG = F-43m
Offset from the most stable computed form = 0.000 kcal/mol of atoms

Lattice parameters (Å, degrees): 4.3436 4.3436 4.3436 60.00 60.00 60.00
Last column: nearest neighbours and their distance in Å.
Positions (direct):
Co (0.0000, 0.0000, 0.0000)  4 Si 2.66, 4 Au 2.66
Si (0.7500, 0.7500, 0.7500)  4 Pt 2.66, 4 Co 2.66
Pt (0.5000, 0.5000, 0.5000)  4 Si 2.66, 4 Au 2.66
Au (0.2500, 0.2500, 0.2500)  4 Co 2.66, 4 Pt 2.66

## ZrNbGe4Au2 (GGA-PBE)

Data for crystalline ZrNbGe4Au2 at its relaxed geometry.

Calculated values
SG = P4mm
DFT total energy = -5.74 eV per atom

Lattice parameters (Å, degrees): 3.8746 3.8746 9.5561 90.00 90.00 90.00
Last column: nearest neighbours and their distance in Å.
Positions (direct):
Zr (0.0000, 0.0000, 0.0000)  8 Ge 2.82-2.92
Nb (0.5000, 0.5000, 0.5586)  8 Ge 2.81-2.82
Ge (0.0000, 0.0000, 0.4892)  4 Au 2.78, 4 Nb 2.82
Ge (0.0000, 0.5000, 0.7720)  4 Ge 2.74, 2 Nb 2.81, 2 Zr 2.92
Ge (0.5000, 0.0000, 0.7720)  4 Ge 2.74, 2 Nb 2.81, 2 Zr 2.92
Ge (0.5000, 0.5000, 0.0711)  4 Au 2.79, 4 Zr 2.82
Au (0.0000, 0.5000, 0.2809)  4 Au 2.74, 4 Ge 2.78-2.79
Au (0.5000, 0.0000, 0.2809)  4 Au 2.74, 4 Ge 2.78-2.79

## TbBe13 (GGA-PBE)

Data for crystalline TbBe13 at its relaxed geometry.

Calculated values
SG = Fm-3c
DFT total energy = -4.00 eV per atom

Lattice parameters (Å, degrees): 7.2084 7.2084 7.2084 60.00 60.00 60.00
Last column: nearest neighbours and their distance in Å.
Positions (direct):
Tb (0.2500, 0.2500, 0.2500)  24 Be 3.00
Tb (0.7500, 0.7500, 0.7500)  24 Be 3.00
Be (0.0000, 0.0000, 0.0000)  12 Be 2.14
Be (0.0627, 0.2902, 0.7098)  10 Be 2.14-2.32
Be (0.0627, 0.7098, 0.9373)  10 Be 2.14-2.32
Be (0.0627, 0.9373, 0.2902)  10 Be 2.14-2.32
Be (0.2098, 0.4373, 0.7902)  10 Be 2.14-2.32
Be (0.2098, 0.5627, 0.4373)  10 Be 2.14-2.32
Be (0.2098, 0.7902, 0.5627)  10 Be 2.14-2.32
Be (0.2902, 0.0627, 0.9373)  10 Be 2.14-2.32
Be (0.2902, 0.7098, 0.0627)  10 Be 2.14-2.32
Be (0.2902, 0.9373, 0.7098)  10 Be 2.14-2.32
Be (0.4373, 0.2098, 0.5627)  10 Be 2.14-2.32
Be (0.4373, 0.5627, 0.7902)  10 Be 2.14-2.32
Be (0.4373, 0.7902, 0.2098)  10 Be 2.14-2.32
Be (0.5000, 0.5000, 0.5000)  12 Be 2.14
Be (0.5627, 0.2098, 0.7902)  10 Be 2.14-2.32
Be (0.5627, 0.4373, 0.2098)  10 Be 2.14-2.32
Be (0.5627, 0.7902, 0.4373)  10 Be 2.14-2.32
Be (0.7098, 0.0627, 0.2902)  10 Be 2.14-2.32
Be (0.7098, 0.2902, 0.9373)  10 Be 2.14-2.32
Be (0.7098, 0.9373, 0.0627)  10 Be 2.14-2.32
Be (0.7902, 0.2098, 0.4373)  10 Be 2.14-2.32
Be (0.7902, 0.4373, 0.5627)  10 Be 2.14-2.32
Be (0.7902, 0.5627, 0.2098)  10 Be 2.14-2.32
Be (0.9373, 0.0627, 0.7098)  10 Be 2.14-2.32
Be (0.9373, 0.2902, 0.0627)  10 Be 2.14-2.32
Be (0.9373, 0.7098, 0.2902)  10 Be 2.14-2.32

## Pr4Si3Pt (GGA-PBE)

Data for crystalline Pr4Si3Pt at its relaxed geometry.

Calculated values
SG = Pm
DFT total energy = -5.98 eV per atom

Lattice parameters (Å, degrees): 5.9822 4.0622 8.1983 90.00 90.47 90.00
Last column: nearest neighbours and their distance in Å.
Positions (direct):
Pr (0.0000, 0.0000, 0.0000)  2 Pt 3.04, 5 Si 3.14-3.30
Pr (0.2316, 0.5000, 0.6550)  5 Si 3.10-3.24, 2 Pt 3.18-3.25
Pr (0.5053, 0.5000, 0.1532)  6 Si 3.09-3.24, 1 Pt 3.23
Pr (0.7378, 0.0000, 0.5229)  2 Pt 3.04, 5 Si 3.18-3.26
Si (0.0015, 0.5000, 0.2956)  2 Si 2.53
Si (0.2353, 0.0000, 0.3657)  2 Si 2.53
Si (0.4914, 0.0000, 0.8695)  2 Pt 2.58
Pt (0.7390, 0.5000, 0.7989)  2 Si 2.58

## ReW5 (GGA-PBE)

Data for crystalline ReW5 at its relaxed geometry.

Calculated values
Calculated formation energy = 0.51 eV per atom
SG = P6_3/mmc
Offset from the most stable computed form = 2.848 kcal/mol of atoms

Lattice parameters (Å, degrees): 5.1989 5.1989 17.0790 90.00 90.00 120.00
Last column: nearest neighbours and their distance in Å.
Positions (direct):
Re (0.0000, 0.0000, 0.1036)  15 W 2.90-3.14
Re (0.0000, 0.0000, 0.3965)  15 W 2.90-3.14
Re (0.0000, 0.0000, 0.6036)  15 W 2.90-3.14
Re (0.0000, 0.0000, 0.8964)  15 W 2.90-3.14
W (0.0000, 0.5000, 0.0000)  6 W 2.60
W (0.0000, 0.5000, 0.5000)  6 W 2.60
W (0.1639, 0.3278, 0.2500)  6 W 2.56-2.64
W (0.1639, 0.8361, 0.2500)  6 W 2.56-2.64
W (0.3278, 0.1639, 0.7500)  6 W 2.56-2.64
W (0.3333, 0.6667, 0.1242)  6 W 2.60-2.64
W (0.3333, 0.6667, 0.3758)  6 W 2.60-2.64
W (0.3333, 0.6667, 0.6492)  12 W 2.96-3.12, 3 Re 3.10
W (0.3333, 0.6667, 0.8508)  12 W 2.96-3.12, 3 Re 3.10
W (0.5000, 0.0000, 0.0000)  6 W 2.60
W (0.5000, 0.0000, 0.5000)  6 W 2.60
W (0.5000, 0.5000, 0.0000)  6 W 2.60
W (0.5000, 0.5000, 0.5000)  6 W 2.60
W (0.6667, 0.3333, 0.1492)  12 W 2.96-3.12, 3 Re 3.10
W (0.6667, 0.3333, 0.3508)  12 W 2.96-3.12, 3 Re 3.10
W (0.6667, 0.3333, 0.6242)  6 W 2.60-2.64
W (0.6667, 0.3333, 0.8758)  6 W 2.60-2.64
W (0.6722, 0.8361, 0.2500)  6 W 2.56-2.64
W (0.8361, 0.1639, 0.7500)  6 W 2.56-2.64
W (0.8361, 0.6722, 0.7500)  6 W 2.56-2.64

## CuGeW4N2 (GGA-PBE)

Data for crystalline CuGeW4N2 at its relaxed geometry.

Calculated values
SG = P-6m2
DFT total energy = -9.36 eV per atom

Lattice parameters (Å, degrees): 2.8450 2.8450 14.5682 90.00 90.00 120.00
Last column: nearest neighbours and their distance in Å.
Positions (direct):
Cu (0.0000, 0.0000, 0.0000)  6 W 2.75, 6 Cu 2.84
Ge (0.6667, 0.3333, 0.5000)  6 W 2.74, 6 Ge 2.84
W (0.0000, 0.0000, 0.3495)  3 N 2.18
W (0.0000, 0.0000, 0.6505)  3 N 2.18
W (0.6667, 0.3333, 0.1511)  3 N 2.19
W (0.6667, 0.3333, 0.8489)  3 N 2.19
N (0.3333, 0.6667, 0.2509)  6 W 2.18-2.19
N (0.3333, 0.6667, 0.7491)  6 W 2.18-2.19

## LaNd2Ni7Pt2 (GGA-PBE)

Data for crystalline LaNd2Ni7Pt2 at its relaxed geometry.

Calculated values
Calculated formation energy = -0.45 eV per atom
SG = R-3m

Lattice parameters (Å, degrees): 8.9398 8.9398 8.9398 33.73 33.73 33.73
Last column: nearest neighbours and their distance in Å.
Positions (direct):
La (0.0000, 0.0000, 0.0000)  6 Pt 3.00
Nd (0.1394, 0.1394, 0.1394)  12 Ni 2.93-3.12
Nd (0.8606, 0.8606, 0.8606)  12 Ni 2.93-3.12
Ni (0.0873, 0.5847, 0.5847)  5 Ni 2.53-2.61, 2 Pt 2.61-2.65
Ni (0.4153, 0.4153, 0.9127)  5 Ni 2.53-2.61, 2 Pt 2.61-2.65
Ni (0.4153, 0.9127, 0.4153)  5 Ni 2.53-2.61, 2 Pt 2.61-2.65
Ni (0.5000, 0.5000, 0.5000)  6 Ni 2.53
Ni (0.5847, 0.0873, 0.5847)  5 Ni 2.53-2.61, 2 Pt 2.61-2.65
Ni (0.5847, 0.5847, 0.0873)  5 Ni 2.53-2.61, 2 Pt 2.61-2.65
Ni (0.9127, 0.4153, 0.4153)  5 Ni 2.53-2.61, 2 Pt 2.61-2.65
Pt (0.3323, 0.3323, 0.3323)  6 Ni 2.61-2.65
Pt (0.6677, 0.6677, 0.6677)  6 Ni 2.61-2.65

## PrAl3PdPt (GGA-PBE)

Data for crystalline PrAl3PdPt at its relaxed geometry.

Calculated values
SG = P-6m2
DFT total energy = -5.46 eV per atom

Lattice parameters (Å, degrees): 5.5093 5.5093 4.2198 90.00 90.00 120.00
Last column: nearest neighbours and their distance in Å.
Positions (direct):
Pr (0.0000, 0.0000, 0.0000)  3 Pt 3.18, 3 Pd 3.18, 12 Al 3.47
Al (0.5006, 0.0011, 0.5000)  2 Pt 2.64, 2 Pd 2.65, 4 Al 2.75-2.76
Al (0.5006, 0.4994, 0.5000)  2 Pt 2.64, 2 Pd 2.65, 4 Al 2.75-2.76
Al (0.9989, 0.4994, 0.5000)  2 Pt 2.64, 2 Pd 2.65, 4 Al 2.75-2.76
Pd (0.3333, 0.6667, 0.0000)  6 Al 2.65
Pt (0.6667, 0.3333, 0.0000)  6 Al 2.64

## LiPtAu (GGA-PBE)

Data for crystalline LiPtAu at its relaxed geometry.

Calculated values
SG = C2
DFT total energy = -4.18 eV per atom

Lattice parameters (Å, degrees): 4.8441 4.8441 4.9136 100.33 100.33 119.83
Last column: nearest neighbours and their distance in Å.
Positions (direct):
Li (0.0000, 0.0000, 0.0000)  5 Au 2.77-2.82, 3 Li 2.78-2.81, 4 Pt 2.81-2.83
Li (0.6686, 0.3314, 0.0000)  4 Pt 2.77-2.84, 3 Li 2.78-2.81, 5 Au 2.78-2.84
Pt (0.1687, 0.8313, 0.5000)  4 Li 2.77-2.83, 3 Pt 2.77-2.81, 5 Au 2.78-2.84
Pt (0.8379, 0.1621, 0.5000)  5 Au 2.77-2.81, 3 Pt 2.77-2.81, 4 Li 2.81-2.84
Au (0.3300, 0.6700, 0.0000)  6 Li 2.77-2.84, 4 Pt 2.77-2.80, 2 Au 2.87
Au (0.5071, 0.4929, 0.5000)  4 Li 2.77-2.80, 6 Pt 2.77-2.84, 2 Au 2.87

## YEr2Sc3Sb2Os (GGA-PBE)

Data for crystalline YEr2Sc3Sb2Os at its relaxed geometry.

Calculated values
SG = Amm2
DFT total energy = -6.75 eV per atom

Lattice parameters (Å, degrees): 4.1741 7.8026 7.8026 119.97 90.00 90.00
Last column: nearest neighbours and their distance in Å.
Positions (direct):
Y (0.0000, 0.0000, 0.0000)  1 Os 3.12, 4 Sb 3.19, 4 Sc 3.40
Er (0.0000, 0.3955, 0.7876)  1 Os 3.04, 4 Sb 3.18, 4 Sc 3.38
Er (0.0000, 0.7876, 0.3955)  1 Os 3.04, 4 Sb 3.18, 4 Sc 3.38
Sc (0.5000, 0.1682, 0.3958)  2 Os 2.75, 1 Sc 3.08
Sc (0.5000, 0.3958, 0.1682)  2 Os 2.75, 1 Sc 3.08
Sc (0.5000, 0.6252, 0.6252)  2 Os 2.73
Sb (0.5000, 0.0627, 0.7275)  3 Sc 3.08-3.11, 4 Er 3.18, 2 Y 3.19
Sb (0.5000, 0.7275, 0.0627)  3 Sc 3.08-3.11, 4 Er 3.18, 2 Y 3.19
Os (0.0000, 0.3996, 0.3996)  6 Sc 2.73-2.75, 2 Er 3.04

## LuTeAuO (GGA-PBE)

Data for crystalline LuTeAuO at its relaxed geometry.

Calculated values
SG = Aea2
Offset from the most stable computed form = 0.000 kcal/mol of atoms

Lattice parameters (Å, degrees): 20.6155 3.9666 3.9666 89.97 90.00 90.00
Last column: nearest neighbours and their distance in Å.
Positions (direct):
Lu (0.0494, 0.2499, 0.7501)  4 O 2.23
Lu (0.4506, 0.7499, 0.2501)  4 O 2.23
Lu (0.5494, 0.2501, 0.7499)  4 O 2.23
Lu (0.9506, 0.7501, 0.2499)  4 O 2.23
Te (0.1369, 0.7489, 0.2517)  2 Au 2.72
Te (0.3631, 0.2489, 0.7517)  2 Au 2.72
Te (0.6369, 0.7517, 0.2489)  2 Au 2.72
Te (0.8631, 0.2517, 0.7489)  2 Au 2.72
Au (0.2502, 0.0011, 0.0062)  2 Te 2.72, 4 Au 2.80-2.81
Au (0.2498, 0.5011, 0.5062)  2 Te 2.72, 4 Au 2.80-2.81
Au (0.7498, 0.0062, 0.0011)  2 Te 2.72, 4 Au 2.80-2.81
Au (0.7502, 0.5062, 0.5011)  2 Te 2.72, 4 Au 2.80-2.81
O (0.0000, 0.2501, 0.2501)  4 Lu 2.23
O (0.0000, 0.7501, 0.7501)  4 Lu 2.23
O (0.5000, 0.2501, 0.2501)  4 Lu 2.23
O (0.5000, 0.7501, 0.7501)  4 Lu 2.23

## RbPt (GGA-PBE)

Data for crystalline RbPt at its relaxed geometry.

Calculated values
SG = P-6m2
DFT total energy = -3.01 eV per atom

Lattice parameters (Å, degrees): 3.1432 3.1432 5.4694 90.00 90.00 120.00
Last column: nearest neighbours and their distance in Å.
Positions (direct):
Rb (0.0000, 0.0000, 0.0000)  6 Rb 3.14, 6 Pt 3.28
Pt (0.3333, 0.6667, 0.5000)  6 Pt 3.14, 6 Rb 3.28

## HoTlCdS3 (GGA-PBE)

Data for crystalline HoTlCdS3 at its relaxed geometry.

Calculated values
SG = Cmcm
Offset from the most stable computed form = 0.000 kcal/mol of atoms

Lattice parameters (Å, degrees): 7.4139 7.4139 10.7069 90.00 90.00 148.13
Last column: nearest neighbours and their distance in Å.
Positions (direct):
Ho (0.0000, 0.0000, 0.0000)  6 S 2.76-2.81
Ho (0.0000, 0.0000, 0.5000)  6 S 2.76-2.81
Tl (0.2670, 0.7330, 0.7500)  4 S 3.19-3.46
Tl (0.7330, 0.2670, 0.2500)  4 S 3.19-3.46
Cd (0.4473, 0.5527, 0.2500)  4 S 2.48-2.60
Cd (0.5527, 0.4473, 0.7500)  4 S 2.48-2.60
S (0.0610, 0.9390, 0.2500)  2 Cd 2.60, 2 Ho 2.81
S (0.3727, 0.6273, 0.0412)  1 Cd 2.48, 2 Ho 2.76
S (0.3727, 0.6273, 0.4588)  1 Cd 2.48, 2 Ho 2.76
S (0.6273, 0.3727, 0.5412)  1 Cd 2.48, 2 Ho 2.76
S (0.6273, 0.3727, 0.9588)  1 Cd 2.48, 2 Ho 2.76
S (0.9390, 0.0610, 0.7500)  2 Cd 2.60, 2 Ho 2.81

## LaHoNO (GGA-PBE)

Data for crystalline LaHoNO at its relaxed geometry.

Calculated values
SG = P4/nmm
Offset from the most stable computed form = 7.506 kcal/mol of atoms

Lattice parameters (Å, degrees): 4.4437 4.4437 8.7494 90.00 90.00 90.00
Last column: nearest neighbours and their distance in Å.
Positions (direct):
La (0.2500, 0.2500, 0.1109)  4 O 2.42
La (0.7500, 0.7500, 0.8891)  4 O 2.42
Ho (0.2500, 0.7500, 0.5000)  4 N 2.29
Ho (0.7500, 0.2500, 0.5000)  4 N 2.29
N (0.2500, 0.2500, 0.5612)  4 Ho 2.29
N (0.7500, 0.7500, 0.4388)  4 Ho 2.29
O (0.2500, 0.7500, 0.0000)  4 La 2.42
O (0.7500, 0.2500, 0.0000)  4 La 2.42

## NbNiBPd (GGA-PBE)

Data for crystalline NbNiBPd at its relaxed geometry.

Calculated values
SG = F-43m
Offset from the most stable computed form = 3.928 kcal/mol of atoms

Lattice parameters (Å, degrees): 4.1821 4.1821 4.1821 60.00 60.00 60.00
Last column: nearest neighbours and their distance in Å.
Positions (direct):
Nb (0.0000, 0.0000, 0.0000)  4 Pd 2.56, 4 B 2.56
Ni (0.5000, 0.5000, 0.5000)  4 B 2.56, 4 Pd 2.56
B (0.2500, 0.2500, 0.2500)  4 Nb 2.56, 4 Ni 2.56
Pd (0.7500, 0.7500, 0.7500)  4 Nb 2.56, 4 Ni 2.56